(1)
Here is crystalline LiCuNi4 at its relaxed geometry from the Alexandria database. Energies are from PBE.

## Properties
Its total magnetization is 1.8 μB/f.u. The energy of formation from the pure elements comes out at 3.3 kcal/mol of atoms. As for the total energy: -4.71 eV/atom. Its density of states at the Fermi level is 1.74 states/eV/atom. The relative energy among the computed polymorphs comes out at 83 meV/atom.

Unit cell a=8.074 b=7.366 c=4.751 alpha=80.42 beta=64.11 gamma=35.47
Positions (direct):
Li 0.125 0.125 0.125
Li 0.875 0.875 0.875
Cu 0.375 0.375 0.375
Cu 0.625 0.625 0.625
Ni 0.033 0.531 0.219
Ni 0.219 0.717 0.033
Ni 0.283 0.781 0.469
Ni 0.469 0.967 0.283
Ni 0.531 0.033 0.717
Ni 0.717 0.219 0.531
Ni 0.781 0.283 0.967
Ni 0.967 0.469 0.781

---

(2)
Here is crystalline BaHgIr2 at its relaxed geometry from the Alexandria database. Energies are from PBE.

## Properties
Its total magnetization is 0.0 μB/f.u. The energy of formation from the pure elements comes out at 11.6 kcal/mol of atoms. As for the total energy: -4.48 eV/atom. Its density of states at the Fermi level is 0.94 states/eV/atom.

Unit cell a=3.064 b=4.848 c=6.296 alpha=90.00 beta=99.87 gamma=90.00
Positions (direct):
Ba 0.000 0.000 0.000
Hg 0.500 0.000 0.500
Ir 0.306 0.500 0.674
Ir 0.694 0.500 0.326

---

Please write out number 1 again, unchanged.
Here is crystalline LiCuNi4 at its relaxed geometry from the Alexandria database. Energies are from PBE.

## Properties
Its total magnetization is 1.8 μB/f.u. The energy of formation from the pure elements comes out at 3.3 kcal/mol of atoms. As for the total energy: -4.71 eV/atom. Its density of states at the Fermi level is 1.74 states/eV/atom. The relative energy among the computed polymorphs comes out at 83 meV/atom.

Unit cell a=8.074 b=7.366 c=4.751 alpha=80.42 beta=64.11 gamma=35.47
Positions (direct):
Li 0.125 0.125 0.125
Li 0.875 0.875 0.875
Cu 0.375 0.375 0.375
Cu 0.625 0.625 0.625
Ni 0.033 0.531 0.219
Ni 0.219 0.717 0.033
Ni 0.283 0.781 0.469
Ni 0.469 0.967 0.283
Ni 0.531 0.033 0.717
Ni 0.717 0.219 0.531
Ni 0.781 0.283 0.967
Ni 0.967 0.469 0.781